Record 1
First-principles (PBE) data for a relaxed structure of Tm8SiSe4S3, as listed in the Alexandria database.

The density comes out at 8.42 g/cm³. Its raw formation energy is -164.5 kJ/mol of atoms. As for the uncorrected energy: -5.9245 eV per atom. Its space group is R-3m (166).

abc: 7.8735 7.9975 7.8736
angles: 119.48 120.00 90.00
Sites, in units of the cell vectors:
1 S 0.0000 0.5000 0.5000
2 Tm 0.2592 0.2771 0.5184
3 Tm 0.2418 0.7270 0.9854
4 Si 0.0000 0.5000 0.0000
5 S 0.5000 0.5000 0.0000
6 Se 0.5000 0.0000 0.0000
7 Tm 0.7435 0.7270 0.9854
8 Se 0.0000 0.0000 0.0000
9 Se 0.0000 0.0000 0.5000
10 Tm 0.2565 0.2730 0.0146
11 Tm 0.2417 0.7262 0.4834
12 S 0.5000 0.5000 0.5000
13 Tm 0.7583 0.2738 0.5166
14 Se 0.5000 0.0000 0.5000
15 Tm 0.7582 0.2730 0.0146
16 Tm 0.7408 0.7229 0.4816

***

Record 2
First-principles (PBE) data for a relaxed structure of CsScRh3, as listed in the Alexandria database.

The density comes out at 6.71 g/cm³. As for the uncorrected energy: -5.0975 eV per atom. The calculation puts the calculated formation energy at 0.75 eV per atom. The excess energy over the best structure of this formula in the dataset comes out at 0.000 eV/atom. Its space group is Pm-3m (221).

abc: 4.9378 4.9378 4.9378
angles: 90.00 90.00 90.00
Sites, in units of the cell vectors:
1 Rh 0.0000 0.0000 0.5000
2 Sc 0.0000 0.0000 0.0000
3 Rh 0.0000 0.5000 0.0000
4 Cs 0.5000 0.5000 0.5000
5 Rh 0.5000 0.0000 0.0000

***

Record 3
First-principles (PBE) data for a relaxed structure of CaTa3Pb, as listed in the Alexandria database.

The density comes out at 11.52 g/cm³. As for the uncorrected energy: -5.8363 eV per atom. The calculation puts the calculated formation energy at 2.42 eV per atom. The excess energy over the best structure of this formula in the dataset comes out at 0.436 eV/atom. Its space group is Pm-3m (221).

abc: 4.8479 4.8479 4.8479
angles: 90.00 90.00 90.00
Sites, in units of the cell vectors:
1 Pb 0.5000 0.5000 0.5000
2 Ca 0.0000 0.0000 0.0000
3 Ta 0.0000 0.0000 0.5000
4 Ta 0.0000 0.5000 0.0000
5 Ta 0.5000 0.0000 0.0000

***

Record 4
First-principles (PBE) data for a relaxed structure of TcAsPt, as listed in the Alexandria database.

The density comes out at 13.21 g/cm³. As for the uncorrected energy: -6.9453 eV per atom. The calculation puts the calculated formation energy at 0.07 eV per atom. The excess energy over the best structure of this formula in the dataset comes out at 0.113 eV/atom. Its space group is I4mm (107).

abc: 5.3396 5.3396 5.3396
angles: 146.46 146.49 48.14
Sites, in units of the cell vectors:
1 Pt 0.3388 0.3388 0.0000
2 As 0.0129 0.0129 0.0000
3 Tc 0.6483 0.6483 0.0000